i:
{
  "formula": "Tb2MgCo",
  "functional": "GGA-PBE",
  "state": "relaxed",
  "lattice_angstrom": [[3.2530, -1.8864, 0.0000], [3.2530, 1.8864, 0.0000], [-2.2021, 0.0000, 8.5304]],
  "species": ["Tb", "Tb", "Mg", "Co"],
  "fractional_positions": [[0.0000, 0.0000, 0.0000], [0.5463, 0.5463, 0.6398], [0.7725, 0.7725, 0.3196], [0.2732, 0.2732, 0.8199]],
  "dos_at_fermi_per_ev_fu": 3.27,
  "space_group": "Cm, No. 8"
}

ii:
{
  "formula": "Tb2MgCo",
  "functional": "GGA-PBE",
  "state": "relaxed",
  "lattice_angstrom": [[3.4166, 0.0000, 0.0000], [0.0000, 3.4166, 0.0000], [0.0000, 0.0000, 8.0917]],
  "species": ["Tb", "Tb", "Mg", "Co"],
  "fractional_positions": [[0.0000, 0.0000, 0.2013], [0.0000, 0.0000, 0.7987], [0.5000, 0.5000, 0.5000], [0.5000, 0.5000, 0.0000]],
  "dos_at_fermi_per_ev_fu": 3.50,
  "space_group": "P4/mmm, No. 123"
}

Q: Which of them is the most stable? A: ii.